## MoPd3O (PBE+U)

Data for crystalline MoPd3O at its relaxed geometry.

Values from the calculation:
SG: No. 221
Polymorph energy (0 for the lowest one), meV per atom: 0.0
Calculated total energy, eV/atom: -5.24

Unit cell a=4.2779 b=4.2779 c=4.2779 alpha=90.00 beta=90.00 gamma=90.00
Last column: magnetic moment on the atom in μB.
Fractional positions:
Mo (0.5000, 0.5000, 0.5000)  3.55
O (0.0000, 0.0000, 0.0000)  -0.01
Pd (0.0000, 0.5000, 0.0000)  0.01
Pd (0.0000, 0.0000, 0.5000)  0.08
Pd (0.5000, 0.0000, 0.0000)  -0.03